# Pm2Sm4Sc, relaxed, DFT PBE-GGA
# - excess energy over the best structure of this formula in the dataset (meV per atom) = 101
# - magnetic moment (μB/f.u.) = 0.00
# - E_form (meV/atom) = 135
data_Pm2Sm4Sc
_chemical_formula_sum 'Pm4 Sm8 Sc2'
_cell_length_a 6.118
_cell_length_b 6.643
_cell_length_c 11.604
_cell_angle_alpha 90.00
_cell_angle_beta 104.37
_cell_angle_gamma 90.00
_symmetry_space_group_name_H-M 'P 1 21/m 1'
_symmetry_Int_Tables_number 11
loop_
_symmetry_equiv_pos_as_xyz
'x,y,z'
'-x,-y,-z'
'-x,y+1/2,-z'
'x,-y+1/2,z'
loop_
_atom_site_label
_atom_site_type_symbol
_atom_site_fract_x
_atom_site_fract_y
_atom_site_fract_z
Pm1 Pm 0.109 0.250 0.498
Pm2 Pm 0.221 0.250 0.079
Sm1 Sm 0.143 0.009 0.785
Sm2 Sm 0.347 0.750 0.056
Sm3 Sm 0.464 0.750 0.630
Sc1 Sc 0.358 0.750 0.337


# NdDyRu4, relaxed, DFT PBE-GGA
# - magnetic moment (μB/f.u.) = 0.00
# - E_form (meV/atom) = -214
data_NdDyRu4
_chemical_formula_sum 'Nd4 Dy4 Ru16'
_cell_length_a 7.609
_cell_length_b 7.609
_cell_length_c 7.609
_cell_angle_alpha 90.00
_cell_angle_beta 90.00
_cell_angle_gamma 90.00
_symmetry_space_group_name_H-M 'F -4 3 m'
_symmetry_Int_Tables_number 216
_symmetry_space_group_name_Hall 'F -4 2 3'
loop_
_atom_site_label
_atom_site_type_symbol
_atom_site_fract_x
_atom_site_fract_y
_atom_site_fract_z
Nd1 Nd 0.000 0.000 0.000
Dy1 Dy 0.250 0.250 0.250
Ru1 Ru 0.125 0.125 0.625


# Pu2Th2C3, relaxed, DFT PBE-GGA
# - magnetic moment (μB/f.u.) = 10.81
# - E_form (meV/atom) = -100
data_Pu2Th2C3
_chemical_formula_sum 'Pu4 Th4 C6'
_cell_length_a 13.456
_cell_length_b 3.630
_cell_length_c 6.042
_cell_angle_alpha 90.00
_cell_angle_beta 113.21
_cell_angle_gamma 90.00
_symmetry_space_group_name_H-M 'C 1 2/m 1'
_symmetry_Int_Tables_number 12
loop_
_symmetry_equiv_pos_as_xyz
'x,y,z'
'-x,-y,-z'
'-x,y,-z'
'x,-y,z'
'x+1/2,y+1/2,z'
'-x+1/2,-y+1/2,-z'
'-x+1/2,y+1/2,-z'
'x+1/2,-y+1/2,z'
loop_
_atom_site_label
_atom_site_type_symbol
_atom_site_fract_x
_atom_site_fract_y
_atom_site_fract_z
Pu1 Pu 0.134 0.000 0.319
Th1 Th 0.125 0.500 0.795
C1 C 0.000 0.000 0.500
C2 C 0.245 0.500 0.260


# BaCuOs2, relaxed, DFT PBE-GGA
# - excess energy over the best structure of this formula in the dataset (meV per atom) = 788
# - magnetic moment (μB/f.u.) = 0.00
# - E_form (meV/atom) = 993
data_BaCuOs2
_chemical_formula_sum 'Ba2 Cu2 Os4'
_cell_length_a 2.891
_cell_length_b 4.740
_cell_length_c 10.734
_cell_angle_alpha 90.00
_cell_angle_beta 90.00
_cell_angle_gamma 90.00
_symmetry_space_group_name_H-M 'I m m m'
_symmetry_Int_Tables_number 71
_symmetry_space_group_name_Hall '-I 2 2'
loop_
_atom_site_label
_atom_site_type_symbol
_atom_site_fract_x
_atom_site_fract_y
_atom_site_fract_z
Ba1 Ba 0.000 0.000 0.000
Cu1 Cu 0.000 0.000 0.500
Os1 Os 0.000 0.500 0.218


# CeTlSnPd, relaxed, DFT PBE-GGA
# - magnetic moment (μB/f.u.) = 0.95
# - E_form (meV/atom) = -403
data_CeTlSnPd
_chemical_formula_sum 'Ce4 Tl4 Sn4 Pd4'
_cell_length_a 7.262
_cell_length_b 7.262
_cell_length_c 7.262
_cell_angle_alpha 90.00
_cell_angle_beta 90.00
_cell_angle_gamma 90.00
_symmetry_space_group_name_H-M 'F -4 3 m'
_symmetry_Int_Tables_number 216
_symmetry_space_group_name_Hall 'F -4 2 3'
loop_
_atom_site_label
_atom_site_type_symbol
_atom_site_fract_x
_atom_site_fract_y
_atom_site_fract_z
Ce1 Ce 0.000 0.000 0.000
Tl1 Tl 0.250 0.250 0.750
Sn1 Sn 0.000 0.000 0.500
Pd1 Pd 0.250 0.250 0.250


# NaMn4Cl8, relaxed, DFT PBE-GGA
# - magnetic moment (μB/f.u.) = 19.00
# - formation energy from raw total energies (meV per atom) = -1066
data_NaMn4Cl8
_chemical_formula_sum 'Na3 Mn12 Cl24'
_cell_length_a 7.3657
_cell_length_b 7.3657
_cell_length_c 20.1741
_cell_angle_alpha 90.00
_cell_angle_beta 90.00
_cell_angle_gamma 120.00
_symmetry_space_group_name_H-M 'R -3 m'
_symmetry_Int_Tables_number 166
_symmetry_space_group_name_Hall '-R 3 2"'
loop_
_atom_site_label
_atom_site_type_symbol
_atom_site_fract_x
_atom_site_fract_y
_atom_site_fract_z
Na1 Na 0.0000 0.0000 0.0000
Mn1 Mn 0.0000 0.0000 0.5000
Mn2 Mn 0.0000 0.5000 0.5000
Cl1 Cl 0.0000 0.0000 0.2355
Cl2 Cl 0.0003 0.5001 0.2386


E, respectively: -4.82; -7.96; -10.27; -6.13; -4.78; -5.13 eV per atom.